## BaZrAs2 (PBE)

Data for crystalline BaZrAs2 at its relaxed geometry.

```
4
Lattice="-1.829 1.957 7.673 1.829 -1.957 7.673 1.829 1.957 -7.673" Properties=species:S:1:pos:R:3 pbc="T T T"
Ba 0.000 0.000 0.000
Zr 1.829 0.000 3.864
As 0.000 0.000 5.847
As 0.000 1.957 2.829
```

magnetization = 0.000 μB/f.u.
relative energy among the computed polymorphs = 206 meV/atom
energy relative to the elements = -0.8771 eV/atom